Compound: Re2RuSe
Source: Alexandria
Functional: PBE
Structure: optimized geometry

Summary:
For the density of states at the Fermi level, the calculation gives 2.46 states/eV per cell. As for the relative energy among the computed polymorphs: 143 meV/atom. The space group is No. 44. Its raw formation energy is 37.8 kJ per mole of atoms.

Lattice parameters (Å, degrees): 5.2176 5.2176 5.2176 147.16 129.45 61.60
Fractional coordinates of all 4 atoms:
1 Re 0.7523 0.2523 0.5000
2 Se 0.2511 0.7511 0.5000
3 Ru 0.4759 0.4759 0.0000
4 Re 0.0207 0.0207 0.0000